1.
KMoAs3 after structural relaxation. Source: Alexandria, functional GGA-PBE.

Cell and atoms, written as CIF:
```
data_KMoAs3
_space_group_name_H-M_alt 'P m -3 m'
_space_group_IT_number 221
_space_group_name_Hall '-P 4 2 3'
_cell_length_a 5.063
_cell_length_b 5.063
_cell_length_c 5.063
_cell_angle_alpha 90.00
_cell_angle_beta 90.00
_cell_angle_gamma 90.00
loop_
_atom_site_label
_atom_site_type_symbol
_atom_site_fract_x
_atom_site_fract_y
_atom_site_fract_z
K1 K 0.000 0.000 0.000
Mo1 Mo 0.500 0.500 0.500
As1 As 0.000 0.000 0.500
```

Computed properties:
* offset from the most stable computed form: 2.321 eV per atom
* ΔH_f (0 K): 226.6 kJ per mole of atoms
* total moment: 0.0 μB per formula unit


2.
BaZrIn after structural relaxation. Source: Alexandria, functional GGA-PBE.

Cell and atoms, written as CIF:
```
data_BaZrIn
_space_group_name_H-M_alt 'F -4 3 m'
_space_group_IT_number 216
_space_group_name_Hall 'F -4 2 3'
_cell_length_a 7.609
_cell_length_b 7.609
_cell_length_c 7.609
_cell_angle_alpha 90.00
_cell_angle_beta 90.00
_cell_angle_gamma 90.00
loop_
_atom_site_label
_atom_site_type_symbol
_atom_site_fract_x
_atom_site_fract_y
_atom_site_fract_z
Ba1 Ba 0.000 0.000 0.000
Zr1 Zr 0.250 0.250 0.750
In1 In 0.250 0.250 0.250
```

Computed properties:
* offset from the most stable computed form: 0.969 eV per atom
* ΔH_f (0 K): 103.0 kJ per mole of atoms
* total moment: 1.1 μB per formula unit


3.
NaMg6BO7 after structural relaxation. Source: Alexandria, functional GGA-PBE.

Cell and atoms, written as CIF:
```
data_NaMg6BO7
_space_group_name_H-M_alt 'P 4 m m'
_space_group_IT_number 99
_space_group_name_Hall 'P 4 -2'
_cell_length_a 4.403
_cell_length_b 4.403
_cell_length_c 8.040
_cell_angle_alpha 90.00
_cell_angle_beta 90.00
_cell_angle_gamma 90.00
loop_
_atom_site_label
_atom_site_type_symbol
_atom_site_fract_x
_atom_site_fract_y
_atom_site_fract_z
Na1 Na 0.000 0.000 0.000
Mg1 Mg 0.000 0.500 0.263
Mg2 Mg 0.000 0.500 0.752
Mg3 Mg 0.500 0.500 0.007
Mg4 Mg 0.500 0.500 0.507
B1 B 0.000 0.000 0.511
O1 O 0.000 0.000 0.689
O2 O 0.000 0.500 0.008
O3 O 0.000 0.500 0.506
O4 O 0.500 0.500 0.258
O5 O 0.500 0.500 0.756
```

Computed properties:
* offset from the most stable computed form: 0.000 eV per atom
* ΔE_f (raw): -2.0498 eV/atom
* total moment: 0.0 μB per formula unit


4.
CePmCoI after structural relaxation. Source: Alexandria, functional GGA-PBE.

Cell and atoms, written as CIF:
```
data_CePmCoI
_space_group_name_H-M_alt 'C 1 m 1'
_space_group_IT_number 8
_space_group_name_Hall 'C -2y'
_cell_length_a 6.774
_cell_length_b 4.194
_cell_length_c 8.354
_cell_angle_alpha 90.00
_cell_angle_beta 108.21
_cell_angle_gamma 90.00
loop_
_atom_site_label
_atom_site_type_symbol
_atom_site_fract_x
_atom_site_fract_y
_atom_site_fract_z
Ce1 Ce 0.000 0.000 0.000
Pm1 Pm 0.248 0.000 0.641
Co1 Co 0.161 0.500 0.850
I1 I 0.465 0.000 0.324
```

Computed properties:
* ΔE_f (raw): -0.5922 eV/atom
* total moment: 0.4 μB per formula unit